Computed, not measured: a relaxed structure of LiLaGeAu at the PBE level of DFT.

Volume (A^3/atom): 22.579
Uncorrected energy (eV/atom): -4.29
Crystal system: cubic
Mass density (g/cm³): 7.6

Cell and atoms, written as POSCAR:
```
LiLaGeAu
1.0
7.122 0.000 0.000
0.000 7.122 0.000
0.000 0.000 7.122
Li La Ge Au
4 4 4 4
Cartesian
0.000 0.000 0.000
0.000 3.561 3.561
3.561 0.000 3.561
3.561 3.561 0.000
0.000 0.000 3.561
0.000 3.561 0.000
3.561 0.000 0.000
3.561 3.561 3.561
1.781 1.781 1.781
1.781 5.342 5.342
5.342 1.781 5.342
5.342 5.342 1.781
1.781 1.781 5.342
1.781 5.342 1.781
5.342 1.781 1.781
5.342 5.342 5.342
```

---

Computed, not measured: a relaxed structure of KBe2SbP at the PBE level of DFT.

Volume (A^3/atom): 27.977
Uncorrected energy (eV/atom): -2.59
Energy relative to the elements, uncorrected (meV/atom): 1026.9
Crystal system: tetragonal
Mass density (g/cm³): 2.5

Cell and atoms, written as POSCAR:
```
KBe2SbP
1.0
4.623 0.000 0.000
0.000 4.623 0.000
0.000 0.000 6.546
K Be Sb P
1 2 1 1
Cartesian
0.000 0.000 0.000
0.000 2.311 3.273
2.311 0.000 3.273
0.000 0.000 3.273
2.311 2.311 0.000
```